Entry 1:
Entry from Alexandria via LeMat-Bulk: crystalline YMnFeGe2 at its relaxed geometry (PBE-GGA).

The structure in POSCAR format:
```
YMnFeGe2
1.0
3.936 0.000 0.000
0.000 3.936 0.000
-1.968 -1.968 5.323
Ge Mn Y Fe
2 1 1 1
Direct
0.379 0.379 0.757
0.621 0.621 0.243
0.750 0.250 0.500
0.000 0.000 0.000
0.250 0.750 0.500
```

Output
volume	82.5	Å³/cell
DOS(E_F)	2.9	states/eV/f.u.
crystal system	tetragonal
VASP energy	-7.15	eV/atom
mass density	6.9	Mg/m³



Entry 2:
Entry from Alexandria via LeMat-Bulk: crystalline YMnFeGe3 at its relaxed geometry (PBE-GGA).

The structure in POSCAR format:
```
YMnFeGe3
1.0
-4.135 1.777 3.358
0.846 -6.058 4.247
3.129 5.628 0.876
Ge Mn Y Fe
6 2 2 2
Direct
0.000 0.251 0.000
0.000 0.749 0.000
0.500 0.251 0.000
0.250 0.254 0.507
0.500 0.749 0.000
0.750 0.746 0.493
0.750 0.955 0.910
0.250 0.045 0.090
0.250 0.748 0.497
0.750 0.252 0.503
0.750 0.539 0.077
0.250 0.461 0.923
```

Output
volume	222.7	Å³/cell
DOS(E_F)	3.9	states/eV/f.u.
crystal system	orthorhombic
VASP energy	-6.46	eV/atom
mass density	6.2	Mg/m³